An optimized crystal structure of Co2SiH. Source: Alexandria via LeMat-Bulk, functional GGA-PBE.

abc: 3.735 3.735 3.735
angles: 60.00 60.00 60.00
Element x y z (fractional)
Co 0.250 0.250 0.250
Co 0.750 0.750 0.750
Si 0.000 0.000 0.000
H 0.500 0.500 0.500

Computed properties:
- Fermi-level density of states: 0.497 states/eV per atom
- Energy: -5.69 eV/atom
- Relative energy among the computed polymorphs: 202 meV per atom
- Spin magnetization: 0.00 μB per formula unit